Record 1
# LaSm5Tl4, relaxed, DFT GGA-PBE
# Formation enthalpy at 0 K (eV per atom): -0.30
# Crystal system: tetragonal
# Calculated volume (Å³ per cell): 299.42
data_LaSm5Tl4
_cell_length_a 3.638
_cell_length_b 3.638
_cell_length_c 22.618
_cell_angle_alpha 90.00
_cell_angle_beta 90.00
_cell_angle_gamma 90.00
_symmetry_space_group_name_H-M 'P 4/m m m'
_symmetry_Int_Tables_number 123
_symmetry_space_group_name_Hall '-P 4 2'
loop_
_atom_site_label
_atom_site_fract_x
_atom_site_fract_y
_atom_site_fract_z
La1 0.000 0.000 0.000
Sm1 0.500 0.500 0.116
Sm2 0.500 0.500 0.308
Sm3 0.500 0.500 0.500
Tl1 0.000 0.000 0.211
Tl2 0.000 0.000 0.404

Record 2
# LaSm5Tl5, relaxed, DFT GGA-PBE
# Formation enthalpy at 0 K (eV per atom): -0.13
# Crystal system: monoclinic
# Calculated volume (Å³ per cell): 721.12
data_LaSm5Tl5
_cell_length_a 16.415
_cell_length_b 6.124
_cell_length_c 7.246
_cell_angle_alpha 90.00
_cell_angle_beta 98.16
_cell_angle_gamma 90.00
_symmetry_space_group_name_H-M 'C 1 2/m 1'
_symmetry_Int_Tables_number 12
_symmetry_space_group_name_Hall '-C 2y'
loop_
_atom_site_label
_atom_site_fract_x
_atom_site_fract_y
_atom_site_fract_z
La1 0.000 0.000 0.000
Sm1 0.000 0.000 0.500
Sm2 0.140 0.500 0.403
Sm3 0.180 0.500 0.913
Tl1 0.000 0.500 0.000
Tl2 0.169 0.000 0.297
Tl3 0.175 0.000 0.738

Record 3
# La4Sm5Tl, relaxed, DFT GGA-PBE
# Formation enthalpy at 0 K (eV per atom): -0.06
# Crystal system: tetragonal
# Calculated volume (Å³ per cell): 340.28
data_La4Sm5Tl
_cell_length_a 3.712
_cell_length_b 3.712
_cell_length_c 24.690
_cell_angle_alpha 90.00
_cell_angle_beta 90.00
_cell_angle_gamma 90.00
_symmetry_space_group_name_H-M 'P 4/m m m'
_symmetry_Int_Tables_number 123
_symmetry_space_group_name_Hall '-P 4 2'
loop_
_atom_site_label
_atom_site_fract_x
_atom_site_fract_y
_atom_site_fract_z
La1 0.000 0.000 0.104
La2 0.000 0.000 0.313
Sm1 0.500 0.500 0.000
Sm2 0.500 0.500 0.207
Sm3 0.500 0.500 0.415
Tl1 0.000 0.000 0.500

Record 4
# La5Sm3Tl, relaxed, DFT GGA-PBE
# Formation enthalpy at 0 K (eV per atom): 0.24
# Crystal system: monoclinic
# Calculated volume (Å³ per cell): 1319.27
data_La5Sm3Tl
_cell_length_a 11.472
_cell_length_b 8.321
_cell_length_c 13.820
_cell_angle_alpha 90.00
_cell_angle_beta 90.08
_cell_angle_gamma 90.00
_symmetry_space_group_name_H-M 'C 1 2/m 1'
_symmetry_Int_Tables_number 12
_symmetry_space_group_name_Hall '-C 2y'
loop_
_atom_site_label
_atom_site_fract_x
_atom_site_fract_y
_atom_site_fract_z
La1 0.000 0.173 0.000
La2 0.002 0.000 0.256
La3 0.236 0.500 0.119
La4 0.248 0.273 0.337
Sm1 0.000 0.500 0.000
Sm2 0.000 0.500 0.500
Sm3 0.133 0.000 0.491
Sm4 0.232 0.500 0.867
Tl1 0.001 0.500 0.738

Record 5
# La5Sm2Tl, relaxed, DFT GGA-PBE
# Formation enthalpy at 0 K (eV per atom): -0.07
# Crystal system: orthorhombic
# Calculated volume (Å³ per cell): 541.52
data_La5Sm2Tl
_cell_length_a 7.309
_cell_length_b 14.806
_cell_length_c 5.004
_cell_angle_alpha 90.00
_cell_angle_beta 90.00
_cell_angle_gamma 90.00
_symmetry_space_group_name_H-M 'P b a m'
_symmetry_Int_Tables_number 55
_symmetry_space_group_name_Hall '-P 2 2ab'
loop_
_atom_site_label
_atom_site_fract_x
_atom_site_fract_y
_atom_site_fract_z
La1 0.000 0.000 0.000
La2 0.002 0.258 0.000
La3 0.249 0.876 0.500
Sm1 0.239 0.617 0.500
Tl1 0.000 0.500 0.000

Record 6
# LaSm3Tl3, relaxed, DFT GGA-PBE
# Formation enthalpy at 0 K (eV per atom): -0.29
# Crystal system: cubic
# Calculated volume (Å³ per cell): 883.08
data_LaSm3Tl3
_cell_length_a 9.594
_cell_length_b 9.594
_cell_length_c 9.594
_cell_angle_alpha 90.00
_cell_angle_beta 90.00
_cell_angle_gamma 90.00
_symmetry_space_group_name_H-M 'P 21 3'
_symmetry_Int_Tables_number 198
_symmetry_space_group_name_Hall 'P 2ac 2ab 3'
loop_
_atom_site_label
_atom_site_fract_x
_atom_site_fract_y
_atom_site_fract_z
La1 0.073 0.427 0.573
Sm1 0.078 0.578 0.922
Sm2 0.178 0.178 0.178
Sm3 0.179 0.821 0.321
Tl1 0.000 0.256 0.882

no.,electronic total energy (eV per atom)
1,-4.0948
2,-3.8005
3,-4.6289
4,-4.3291
5,-4.6231
6,-4.0289